Density functional theory data (PBE) for U2Ge3Ru5 after structural relaxation.

a = 4.1338 Å, b = 24.7062 Å, c = 6.5139 Å
α = 90.00°, β = 90.00°, γ = 90.00°
Last column: nearest neighbours and their distance in Å.
Space group Cmc2_1 (No. 36)
Inequivalent atoms, fractional coordinates:
U: 0.0000 0.0096 0.0000 (multiplicity 4)  3 Ru 2.78-2.98, 5 Ge 2.89-2.99
U: 0.0000 0.3260 0.0033 (multiplicity 4)  8 Ru 2.81-3.15, 2 Ge 3.14
Ge: 0.0000 0.1103 0.7734 (multiplicity 4)  6 Ru 2.47-2.73
Ge: 0.0000 0.2706 0.5184 (multiplicity 4)  7 Ru 2.45-2.58
Ge: 0.0000 0.4477 0.7666 (multiplicity 4)  5 Ru 2.51-2.70
Ru: 0.0000 0.1047 0.3553 (multiplicity 4)  3 Ge 2.51-2.73, 1 Ru 2.56
Ru: 0.0000 0.2033 0.2328 (multiplicity 4)  3 Ge 2.50-2.58, 2 Ru 2.56-2.73
Ru: 0.0000 0.2095 0.8150 (multiplicity 4)  4 Ge 2.45-2.50, 1 Ru 2.73
Ru: 0.0000 0.3701 0.5129 (multiplicity 4)  4 Ge 2.46-2.63
Ru: 0.0000 0.4467 0.1574 (multiplicity 4)  4 Ge 2.55-2.70, 2 U 2.78

Summary:
Total DFT energy (no corrections) in eV/atom: -8.60